No. 1
# Mg14MnCrO16 GGA-PBEsol relaxed
# offset from the most stable computed form = 0.000 eV per atom
# formation energy without anion corrections = -2531 meV per atom
data_Mg14MnCrO16
_chemical_formula_sum 'Mg14 Mn1 Cr1 O16'
_space_group_name_H-M_alt 'P m m m'
_space_group_IT_number 47
_space_group_name_Hall '-P 2 2'
_cell_length_a 4.2466
_cell_length_b 8.4607
_cell_length_c 8.4767
_cell_angle_alpha 90.00
_cell_angle_beta 90.00
_cell_angle_gamma 90.00
loop_
_atom_site_label
_atom_site_fract_x
_atom_site_fract_y
_atom_site_fract_z
Mg1 0.0000 0.0000 0.0000
Mg2 0.0000 0.2501 0.2492
Mg3 0.0000 0.5000 0.0000
Mg4 0.5000 0.0000 0.2493
Mg5 0.5000 0.2500 0.0000
Mg6 0.5000 0.2504 0.5000
Mg7 0.5000 0.5000 0.2501
Mn1 0.0000 0.0000 0.5000
Cr1 0.0000 0.5000 0.5000
O1 0.0000 0.0000 0.2435
O2 0.0000 0.2508 0.0000
O3 0.0000 0.2571 0.5000
O4 0.0000 0.5000 0.2469
O5 0.5000 0.0000 0.0000
O6 0.5000 0.0000 0.5000
O7 0.5000 0.2500 0.2508
O8 0.5000 0.5000 0.0000
O9 0.5000 0.5000 0.5000

***

No. 2
# Mg2TiO4 GGA-PBEsol relaxed
# offset from the most stable computed form = 0.000 eV per atom
# formation energy without anion corrections = -2906 meV per atom
data_Mg2TiO4
_chemical_formula_sum 'Mg8 Ti4 O16'
_space_group_name_H-M_alt 'P 41 2 2'
_space_group_IT_number 91
_space_group_name_Hall 'P 4w 2c'
_cell_length_a 5.9867
_cell_length_b 5.9867
_cell_length_c 8.3986
_cell_angle_alpha 90.00
_cell_angle_beta 90.00
_cell_angle_gamma 90.00
loop_
_atom_site_label
_atom_site_fract_x
_atom_site_fract_y
_atom_site_fract_z
Mg1 0.0000 0.2496 0.0000
Mg2 0.2516 0.2516 0.3750
Ti1 0.2378 0.5000 0.7500
O1 0.0275 0.2629 0.7519
O2 0.2615 0.4835 0.9833

***

No. 3
KP3H after structural relaxation, computed with GGA-PBEsol.

Geometry as CIF:
```
data_KP3H
_chemical_formula_sum 'K1 P3 H1'
_space_group_name_H-M_alt 'P m -3 m'
_space_group_IT_number 221
_space_group_name_Hall '-P 4 2 3'
_cell_length_a 4.2224
_cell_length_b 4.2224
_cell_length_c 4.2224
_cell_angle_alpha 90.00
_cell_angle_beta 90.00
_cell_angle_gamma 90.00
loop_
_atom_site_label
_atom_site_fract_x
_atom_site_fract_y
_atom_site_fract_z
K1 0.0000 0.0000 0.0000
P1 0.0000 0.5000 0.5000
H1 0.5000 0.5000 0.5000
```

***

No. 4
# AlCr2Re GGA-PBEsol relaxed
# formation energy from the elements = -0.029 eV/atom
data_AlCr2Re
_chemical_formula_sum 'Al1 Cr2 Re1'
_space_group_name_H-M_alt 'P 4/m m m'
_space_group_IT_number 123
_space_group_name_Hall '-P 4 2'
_cell_length_a 2.9796
_cell_length_b 2.9796
_cell_length_c 5.8265
_cell_angle_alpha 90.00
_cell_angle_beta 90.00
_cell_angle_gamma 90.00
loop_
_atom_site_label
_atom_site_fract_x
_atom_site_fract_y
_atom_site_fract_z
Al1 0.0000 0.0000 0.0000
Cr1 0.5000 0.5000 0.2571
Re1 0.0000 0.0000 0.5000

***

No. 5
# CdInHg2 GGA-PBEsol relaxed
# formation energy from the elements = 0.006 eV/atom
data_CdInHg2
_chemical_formula_sum 'Cd2 In2 Hg4'
_space_group_name_H-M_alt 'I m m 2'
_space_group_IT_number 44
_space_group_name_Hall 'I 2 -2'
_cell_length_a 3.7221
_cell_length_b 4.8289
_cell_length_c 10.3807
_cell_angle_alpha 90.00
_cell_angle_beta 90.00
_cell_angle_gamma 90.00
loop_
_atom_site_label
_atom_site_fract_x
_atom_site_fract_y
_atom_site_fract_z
Cd1 0.0000 0.0000 0.0000
In1 0.0000 0.5000 0.2476
Hg1 0.0000 0.0000 0.4929
Hg2 0.0000 0.5000 0.7420

***

No. 6
# La4YRh GGA-PBEsol relaxed
# formation energy from the elements = 0.512 eV/atom
data_La4YRh
_chemical_formula_sum 'La16 Y4 Rh4'
_space_group_name_H-M_alt 'F -4 3 m'
_space_group_IT_number 216
_space_group_name_Hall 'F -4 2 3'
_cell_length_a 8.8454
_cell_length_b 8.8454
_cell_length_c 8.8454
_cell_angle_alpha 90.00
_cell_angle_beta 90.00
_cell_angle_gamma 90.00
loop_
_atom_site_label
_atom_site_fract_x
_atom_site_fract_y
_atom_site_fract_z
La1 0.1223 0.1223 0.3777
Y1 0.0000 0.0000 0.0000
Rh1 0.2500 0.2500 0.7500

***

No. 7
# Li21Fe4O16 GGA-PBEsol relaxed
# formation energy without anion corrections = -1734 meV per atom
data_Li21Fe4O16
_chemical_formula_sum 'Li42 Fe8 O32'
_space_group_name_H-M_alt 'C 1 2 1'
_space_group_IT_number 5
_space_group_name_Hall 'C 2y'
_cell_length_a 8.8780
_cell_length_b 9.2997
_cell_length_c 9.2934
_cell_angle_alpha 90.00
_cell_angle_beta 90.15
_cell_angle_gamma 90.00
loop_
_atom_site_label
_atom_site_fract_x
_atom_site_fract_y
_atom_site_fract_z
Li1 0.0000 0.0000 0.0000
Li2 0.0000 0.4409 0.0000
Li3 0.0000 0.4414 0.5000
Li4 0.9999 0.9423 0.2637
Li5 0.2052 0.7111 0.2596
Li6 0.2076 0.7091 0.7625
Li7 0.2091 0.2083 0.4878
Li8 0.2114 0.2117 0.9896
Li9 0.2206 0.4578 0.2788
Li10 0.2207 0.4629 0.7767
Li11 0.2210 0.9599 0.4726
Li12 0.2470 0.9602 0.9685
Fe1 0.9997 0.2199 0.2515
Fe2 0.0000 0.7175 0.5000
Fe3 0.0000 0.7178 0.0000
O1 0.1304 0.3325 0.1345
O2 0.1297 0.8462 0.1077
O3 0.1315 0.0829 0.8477
O4 0.1331 0.8323 0.6146
O5 0.1362 0.3309 0.6372
O6 0.1378 0.5886 0.9159
O7 0.1391 0.0886 0.3343
O8 0.1390 0.5877 0.4134

***

No. 8
# AgSb2Se2 GGA-PBEsol relaxed
# formation energy without anion corrections = 179 meV per atom
data_AgSb2Se2
_chemical_formula_sum 'Ag2 Sb4 Se4'
_space_group_name_H-M_alt 'P 4/m b m'
_space_group_IT_number 127
_space_group_name_Hall '-P 4 2ab'
_cell_length_a 7.8862
_cell_length_b 7.8862
_cell_length_c 3.7669
_cell_angle_alpha 90.00
_cell_angle_beta 90.00
_cell_angle_gamma 90.00
loop_
_atom_site_label
_atom_site_fract_x
_atom_site_fract_y
_atom_site_fract_z
Ag1 0.0000 0.0000 0.0000
Sb1 0.1646 0.3354 0.5000
Se1 0.1539 0.6539 0.0000

***

No. 9
# ScCu2 GGA-PBEsol relaxed
# formation energy from the elements = -0.143 eV/atom
data_ScCu2
_chemical_formula_sum 'Sc2 Cu4'
_space_group_name_H-M_alt 'P 63/m m c'
_space_group_IT_number 194
_space_group_name_Hall '-P 6c 2c'
_cell_length_a 4.3999
_cell_length_b 4.3999
_cell_length_c 5.2718
_cell_angle_alpha 90.00
_cell_angle_beta 90.00
_cell_angle_gamma 120.00
loop_
_atom_site_label
_atom_site_fract_x
_atom_site_fract_y
_atom_site_fract_z
Sc1 0.3333 0.6667 0.2500
Cu1 0.0000 0.0000 0.0000
Cu2 0.3333 0.6667 0.7500

***

No. 10
# Sr2NbTe2 GGA-PBEsol relaxed
# formation energy without anion corrections = -599 meV per atom
data_Sr2NbTe2
_chemical_formula_sum 'Sr4 Nb2 Te4'
_space_group_name_H-M_alt 'P 4/m b m'
_space_group_IT_number 127
_space_group_name_Hall '-P 4 2ab'
_cell_length_a 7.9729
_cell_length_b 7.9729
_cell_length_c 4.6049
_cell_angle_alpha 90.00
_cell_angle_beta 90.00
_cell_angle_gamma 90.00
loop_
_atom_site_label
_atom_site_fract_x
_atom_site_fract_y
_atom_site_fract_z
Sr1 0.1556 0.3444 0.0000
Nb1 0.0000 0.0000 0.5000
Te1 0.1589 0.6589 0.5000

***

No. 11
# Pr3Ho GGA-PBEsol relaxed
# offset from the most stable computed form = 0.000 eV per atom
# formation energy from the elements = 0.010 eV/atom
data_Pr3Ho
_chemical_formula_sum 'Pr6 Ho2'
_space_group_name_H-M_alt 'I 4/m m m'
_space_group_IT_number 139
_space_group_name_Hall '-I 4 2'
_cell_length_a 5.0738
_cell_length_b 5.0738
_cell_length_c 10.1345
_cell_angle_alpha 90.00
_cell_angle_beta 90.00
_cell_angle_gamma 90.00
loop_
_atom_site_label
_atom_site_fract_x
_atom_site_fract_y
_atom_site_fract_z
Pr1 0.0000 0.0000 0.0000
Pr2 0.0000 0.5000 0.2500
Ho1 0.0000 0.0000 0.5000

***

No. 12
# YWN3 GGA-PBEsol relaxed
# formation energy without anion corrections = -1102 meV per atom
data_YWN3
_chemical_formula_sum 'Y4 W4 N12'
_space_group_name_H-M_alt 'A m a 2'
_space_group_IT_number 40
_space_group_name_Hall 'A 2 -2a'
_cell_length_a 3.7318
_cell_length_b 14.4957
_cell_length_c 5.3947
_cell_angle_alpha 90.00
_cell_angle_beta 90.00
_cell_angle_gamma 90.00
loop_
_atom_site_label
_atom_site_fract_x
_atom_site_fract_y
_atom_site_fract_z
Y1 0.2500 0.1710 0.0000
W1 0.2500 0.4116 0.0496
N1 0.2500 0.0553 0.6414
N2 0.2500 0.3025 0.2308
N3 0.2500 0.3820 0.7246

***

No. 13
# BaZnWF7 GGA-PBEsol relaxed
# formation energy without anion corrections = -2599 meV per atom
data_BaZnWF7
_chemical_formula_sum 'Ba4 Zn4 W4 F28'
_space_group_name_H-M_alt 'P 1 21/c 1'
_space_group_IT_number 14
_space_group_name_Hall '-P 2ybc'
_cell_length_a 5.6283
_cell_length_b 10.1505
_cell_length_c 9.7136
_cell_angle_alpha 90.00
_cell_angle_beta 91.52
_cell_angle_gamma 90.00
loop_
_atom_site_label
_atom_site_fract_x
_atom_site_fract_y
_atom_site_fract_z
Ba1 0.2398 0.1761 0.0016
Zn1 0.1797 0.6024 0.8088
W1 0.3027 0.6128 0.1845
F1 0.0039 0.7150 0.2464
F2 0.0945 0.5388 0.6268
F3 0.1485 0.0614 0.6199
F4 0.2171 0.6988 0.9946
F5 0.3748 0.0463 0.3792
F6 0.4066 0.5399 0.3711
F7 0.4695 0.7157 0.7500

***

No. 14
# Lu2Fe3Si5 GGA-PBEsol relaxed
# formation energy without anion corrections = -796 meV per atom
data_Lu2Fe3Si5
_chemical_formula_sum 'Lu8 Fe12 Si20'
_space_group_name_H-M_alt 'P 4/m n c'
_space_group_IT_number 128
_space_group_name_Hall '-P 4 2n'
_cell_length_a 10.1714
_cell_length_b 10.1714
_cell_length_c 5.3213
_cell_angle_alpha 90.00
_cell_angle_beta 90.00
_cell_angle_gamma 90.00
loop_
_atom_site_label
_atom_site_fract_x
_atom_site_fract_y
_atom_site_fract_z
Lu1 0.0684 0.2366 0.0000
Fe1 0.0000 0.5000 0.2500
Fe2 0.1230 0.8565 0.5000
Si1 0.0000 0.0000 0.2580
Si2 0.0244 0.3190 0.5000
Si3 0.1786 0.6786 0.2500

***

No. 15
# RbBaTa2Cl GGA-PBEsol relaxed
# formation energy without anion corrections = 2146 meV per atom
data_RbBaTa2Cl
_chemical_formula_sum 'Rb1 Ba1 Ta2 Cl1'
_space_group_name_H-M_alt 'P 4/m m m'
_space_group_IT_number 123
_space_group_name_Hall '-P 4 2'
_cell_length_a 5.1473
_cell_length_b 5.1473
_cell_length_c 11.9611
_cell_angle_alpha 90.00
_cell_angle_beta 90.00
_cell_angle_gamma 90.00
loop_
_atom_site_label
_atom_site_fract_x
_atom_site_fract_y
_atom_site_fract_z
Rb1 0.0000 0.0000 0.0000
Ba1 0.0000 0.0000 0.5000
Ta1 0.0000 0.5000 0.5000
Cl1 0.5000 0.5000 0.0000

***

No. 16
# SrCrBr2 GGA-PBEsol relaxed
# offset from the most stable computed form = 0.000 eV per atom
# formation energy without anion corrections = -451 meV per atom
data_SrCrBr2
_chemical_formula_sum 'Sr3 Cr3 Br6'
_space_group_name_H-M_alt 'R -3 m'
_space_group_IT_number 166
_space_group_name_Hall '-R 3 2"'
_cell_length_a 4.1211
_cell_length_b 4.1211
_cell_length_c 26.3115
_cell_angle_alpha 90.00
_cell_angle_beta 90.00
_cell_angle_gamma 120.00
loop_
_atom_site_label
_atom_site_fract_x
_atom_site_fract_y
_atom_site_fract_z
Sr1 0.0000 0.0000 0.0000
Cr1 0.0000 0.0000 0.5000
Br1 0.0000 0.0000 0.1146

***

No. 17
# Ti2SiAs GGA-PBEsol relaxed
# formation energy without anion corrections = -424 meV per atom
data_Ti2SiAs
_chemical_formula_sum 'Ti8 Si4 As4'
_space_group_name_H-M_alt 'F m -3 m'
_space_group_IT_number 225
_space_group_name_Hall '-F 4 2 3'
_cell_length_a 6.2447
_cell_length_b 6.2447
_cell_length_c 6.2447
_cell_angle_alpha 90.00
_cell_angle_beta 90.00
_cell_angle_gamma 90.00
loop_
_atom_site_label
_atom_site_fract_x
_atom_site_fract_y
_atom_site_fract_z
Ti1 0.2500 0.2500 0.2500
Si1 0.0000 0.0000 0.0000
As1 0.0000 0.0000 0.5000

***

No. 18
# LiTlAg2As GGA-PBEsol relaxed
# formation energy from the elements = 0.307 eV/atom
data_LiTlAg2As
_chemical_formula_sum 'Li1 Tl1 Ag2 As1'
_space_group_name_H-M_alt 'P 4/m m m'
_space_group_IT_number 123
_space_group_name_Hall '-P 4 2'
_cell_length_a 4.8021
_cell_length_b 4.8021
_cell_length_c 5.8404
_cell_angle_alpha 90.00
_cell_angle_beta 90.00
_cell_angle_gamma 90.00
loop_
_atom_site_label
_atom_site_fract_x
_atom_site_fract_y
_atom_site_fract_z
Li1 0.0000 0.0000 0.0000
Tl1 0.5000 0.5000 0.0000
Ag1 0.0000 0.5000 0.5000
As1 0.5000 0.5000 0.5000

***

No. 19
# LaZnIrCl2 GGA-PBEsol relaxed
# formation energy without anion corrections = -170 meV per atom
data_LaZnIrCl2
_chemical_formula_sum 'La1 Zn1 Ir1 Cl2'
_space_group_name_H-M_alt 'P 4/m m m'
_space_group_IT_number 123
_space_group_name_Hall '-P 4 2'
_cell_length_a 4.8783
_cell_length_b 4.8783
_cell_length_c 5.2726
_cell_angle_alpha 90.00
_cell_angle_beta 90.00
_cell_angle_gamma 90.00
loop_
_atom_site_label
_atom_site_fract_x
_atom_site_fract_y
_atom_site_fract_z
La1 0.0000 0.0000 0.0000
Zn1 0.5000 0.5000 0.0000
Ir1 0.0000 0.0000 0.5000
Cl1 0.0000 0.5000 0.5000

***

Calculated uncorrected energy, -6.53 -7.59 -3.73 -9.51 -1.32 -5.55 -5.66 -3.85 -5.23 -4.91 -5.12 -10.34 -5.70 -7.33 -3.91 -4.41 -7.30 -2.96 -4.32 eV/atom (same order as the records).